Computed, not measured: a geometry-optimized Rb2CaYCl6 structure at the GGA-PBE level of DFT.

Summary:
Calculated volume: 317.98 Å³/f.u.
Total magnetization: 0.947 μB/f.u.
Uncorrected formation energy: -2.04 eV/atom

a = 7.661 Å, b = 7.661 Å, c = 7.661 Å
α = 60.00°, β = 60.00°, γ = 60.00°
Sites, in units of the cell vectors:
Rb: 0.250 0.250 0.250
Rb: 0.750 0.750 0.750
Ca: 0.000 0.000 0.000
Y: 0.500 0.500 0.500
Cl: 0.251 0.251 0.749
Cl: 0.251 0.749 0.251
Cl: 0.251 0.749 0.749
Cl: 0.749 0.251 0.251
Cl: 0.749 0.251 0.749
Cl: 0.749 0.749 0.251